A plane-wave DFT calculation with PBE+U was carried out for a relaxed structure of LiMo2O6.

Cell: 10.2668 3.4472 7.8099 Å, 90.00 90.92 90.00°
Space group C2/m (No. 12)
Inequivalent atoms, fractional coordinates:
Li 0.0000 0.0000 0.0000 x2
Mo 0.2237 0.5000 0.7126 x4
O 0.1132 0.0000 0.2194 x4
O 0.1204 0.5000 0.8899 x4
O 0.1880 0.0000 0.6027 x4

Values from the calculation:
**ΔE to the lowest computed polymorph**: 90 meV per atom